MgScNi: optimized geometry, GGA-PBE.

Lattice parameters (Å, degrees): 3.235 3.235 10.331 90.00 90.00 90.00
Space group I4mm (No. 107)
Asymmetric unit:
Mg: 0.000 0.000 0.000
Sc: 0.000 0.000 0.720
Ni: 0.000 0.000 0.350

## Properties
Electronic total energy, eV per cell: -29.0
Formation energy from the elements, eV/atom: -0.269